Record 1
{"formula": "ReRu", "functional": "meta-GGA SCAN", "state": "PBEsol geometry", "e_form_kcal_per_mol_atoms": -2.3, "crystal_system": "orthorhombic", "lattice_angstrom": [[-0.4063, -2.4180, -1.2024], [2.3920, 1.2749, -3.3722], [3.8608, -1.6923, 2.0987]], "species": ["Ru", "Re", "Ru", "Re"], "fractional_positions": [[0.5000, 0.2500, 0.8280], [0.0000, 0.7500, 0.6678], [0.5000, 0.7500, 0.1720], [0.0000, 0.2500, 0.3322]]}

Record 2
{"formula": "RbHg3Pt", "functional": "meta-GGA SCAN", "state": "PBEsol geometry", "e_form_kcal_per_mol_atoms": -8.3, "crystal_system": "cubic", "de_polymorph_ev_per_fu": 0.00, "lattice_angstrom": [[-2.7387, 4.0440, -2.0135], [0.4467, -2.1006, -4.8266], [-4.4954, -2.6724, 0.7470]], "species": ["Hg", "Hg", "Rb", "Hg", "Pt"], "fractional_positions": [[0.0000, 0.0000, 0.5000], [0.5000, 0.0000, 0.0000], [0.5000, 0.5000, 0.5000], [0.0000, 0.5000, 0.0000], [0.0000, 0.0000, 0.0000]]}

Record 3
{"formula": "Ti2Ga2Mo", "functional": "meta-GGA SCAN", "state": "PBEsol geometry", "e_form_kcal_per_mol_atoms": -10.5, "crystal_system": "tetragonal", "lattice_angstrom": [[3.3782, 0.0000, 0.0000], [0.0000, 6.7311, 0.0000], [0.0000, 0.0000, 6.7311]], "species": ["Ga", "Ti", "Ga", "Ti", "Mo", "Ga", "Ti", "Ti", "Mo", "Ga"], "fractional_positions": [[0.0000, 0.3724, 0.8724], [0.5000, 0.6767, 0.8233], [0.0000, 0.8724, 0.6276], [0.5000, 0.3233, 0.1767], [0.0000, 0.0000, 0.0000], [0.0000, 0.6276, 0.1276], [0.5000, 0.8233, 0.3233], [0.5000, 0.1767, 0.6767], [0.0000, 0.5000, 0.5000], [0.0000, 0.1276, 0.3724]]}

Record 4
{"formula": "ReGeS3", "functional": "meta-GGA SCAN", "state": "PBEsol geometry", "crystal_system": "cubic", "raw_formation_energy_kj_per_mol_atoms": 43, "lattice_angstrom": [[4.6015, 0.0000, 0.0000], [0.0000, 4.6015, 0.0000], [0.0000, 0.0000, 4.6015]], "species": ["Re", "S", "Ge", "S", "S"], "fractional_positions": [[0.0000, 0.0000, 0.0000], [0.0000, 0.0000, 0.5000], [0.5000, 0.5000, 0.5000], [0.5000, 0.0000, 0.0000], [0.0000, 0.5000, 0.0000]]}

Record 5
{"formula": "BeH10N3F3", "functional": "meta-GGA SCAN", "state": "PBEsol geometry", "crystal_system": "orthorhombic", "lattice_angstrom": [[6.5479, 0.0000, 0.0000], [0.0000, 7.9636, 0.0000], [0.0000, 0.0000, 10.5820]], "species": ["N", "H", "H", "H", "H", "F", "H", "H", "H", "H", "H", "H", "H", "Be", "H", "H", "F", "H", "N", "F", "N", "H", "H", "H", "F", "N", "Be", "F", "N", "H", "H", "H", "N", "H", "H", "N", "H", "H", "F", "F", "N", "H", "F", "H", "H", "H", "H", "N", "H", "H", "F", "H", "F", "N", "Be", "N", "H", "H", "Be", "N", "H", "F", "H", "H", "H", "F", "H", "H"], "fractional_positions": [[0.5535, 0.1439, 0.4225], [0.3560, 0.9226, 0.7061], [0.9458, 0.2201, 0.1942], [0.9601, 0.9312, 0.8430], [0.5558, 0.6067, 0.0124], [0.9180, 0.1059, 0.7264], [0.1440, 0.0774, 0.2061], [0.3055, 0.6613, 0.4496], [0.1949, 0.3892, 0.5405], [0.0542, 0.7201, 0.3058], [0.4442, 0.1067, 0.4876], [0.0399, 0.4312, 0.6570], [0.5399, 0.0688, 0.3430], [0.4540, 0.8585, 0.1056], [0.7948, 0.3535, 0.0352], [0.4738, 0.8579, 0.8412], [0.0820, 0.6059, 0.7736], [0.6949, 0.1108, 0.4595], [0.0765, 0.1802, 0.2523], [0.5820, 0.8941, 0.2264], [0.4465, 0.6439, 0.0775], [0.2948, 0.1465, 0.9648], [0.3134, 0.7259, 0.7610], [0.6866, 0.2259, 0.7390], [0.7684, 0.4249, 0.3809], [0.4235, 0.8198, 0.7523], [0.0460, 0.1415, 0.6056], [0.4180, 0.3941, 0.2736], [0.0535, 0.3561, 0.5775], [0.9442, 0.3933, 0.5124], [0.8560, 0.5774, 0.2939], [0.6322, 0.3109, 0.1517], [0.9465, 0.8561, 0.9225], [0.8134, 0.7741, 0.2390], [0.5262, 0.3579, 0.6588], [0.9235, 0.6802, 0.2477], [0.6945, 0.1613, 0.0504], [0.8055, 0.8387, 0.5504], [0.7316, 0.5751, 0.8809], [0.9501, 0.0525, 0.4878], [0.7511, 0.2632, 0.0990], [0.1322, 0.1891, 0.8483], [0.2684, 0.0751, 0.6191], [0.8051, 0.8892, 0.9595], [0.3678, 0.8109, 0.3483], [0.6440, 0.4226, 0.7939], [0.2052, 0.8535, 0.4648], [0.5765, 0.3198, 0.7477], [0.4458, 0.2799, 0.8058], [0.4601, 0.5688, 0.1570], [0.4501, 0.4475, 0.5122], [0.1945, 0.3387, 0.9496], [0.0499, 0.5525, 0.0122], [0.2511, 0.2368, 0.9010], [0.5460, 0.3585, 0.3944], [0.7489, 0.7368, 0.5990], [0.0262, 0.1421, 0.3412], [0.9738, 0.6421, 0.1588], [0.9540, 0.6415, 0.8944], [0.2489, 0.7632, 0.4010], [0.3051, 0.6108, 0.0405], [0.2316, 0.9249, 0.1191], [0.7052, 0.6465, 0.5352], [0.0558, 0.8933, 0.9876], [0.5542, 0.7799, 0.6942], [0.5499, 0.9475, 0.9878], [0.1866, 0.2741, 0.2610], [0.8678, 0.6891, 0.6517]]}

Record 6
{"formula": "ZnIr2Rh", "functional": "meta-GGA SCAN", "state": "PBEsol geometry", "e_form_kcal_per_mol_atoms": -2.3, "crystal_system": "trigonal", "lattice_angstrom": [[2.7088, 0.0000, 0.0000], [1.3544, 2.3459, 0.0000], [1.3544, 0.7820, 8.6389]], "species": ["Rh", "Ir", "Zn", "Ir"], "fractional_positions": [[0.5010, 0.5010, 0.4969], [0.7505, 0.7505, 0.7485], [0.2491, 0.2491, 0.2526], [0.9994, 0.9994, 0.0019]]}

Record 7
{"formula": "K2LiP", "functional": "meta-GGA SCAN", "state": "PBEsol geometry", "e_form_kcal_per_mol_atoms": -9.7, "crystal_system": "monoclinic", "lattice_angstrom": [[4.6513, 0.0000, 0.0000], [-2.3257, 4.0304, -0.0350], [0.0000, -2.6178, 6.4871]], "species": ["K", "P", "Li", "K"], "fractional_positions": [[0.2159, 0.4319, 0.6497], [0.7921, 0.5841, 0.3760], [0.4589, 0.9178, 0.3766], [0.0331, 0.0662, 0.0978]]}

Record 8
{"formula": "Mg3BiBr", "functional": "meta-GGA SCAN", "state": "PBEsol geometry", "crystal_system": "cubic", "raw_formation_energy_kj_per_mol_atoms": 7, "lattice_angstrom": [[-4.9678, 2.8310, 0.1315], [-2.5053, -4.5109, 2.4670], [1.3249, 2.0852, 5.1583]], "species": ["Mg", "Bi", "Mg", "Mg", "Br"], "fractional_positions": [[0.5000, 0.0000, 0.0000], [0.0000, 0.0000, 0.0000], [0.0000, 0.0000, 0.5000], [0.0000, 0.5000, 0.0000], [0.5000, 0.5000, 0.5000]]}

Record 9
{"formula": "TcSbPF2", "functional": "meta-GGA SCAN", "state": "PBEsol geometry", "crystal_system": "tetragonal", "raw_formation_energy_kj_per_mol_atoms": -69, "lattice_angstrom": [[3.9019, 0.0000, 0.0000], [0.0000, 3.9019, 0.0000], [0.0000, 0.0000, 5.5999]], "species": ["Tc", "F", "F", "P", "Sb"], "fractional_positions": [[0.0000, 0.0000, 0.0000], [0.5000, 0.0000, 0.0000], [0.0000, 0.5000, 0.0000], [0.5000, 0.5000, 0.5000], [0.0000, 0.0000, 0.5000]]}

Record 10
{"formula": "TlRe2Rh", "functional": "meta-GGA SCAN", "state": "PBEsol geometry", "e_form_kcal_per_mol_atoms": 24.4, "crystal_system": "cubic", "de_polymorph_ev_per_fu": 2.84, "lattice_angstrom": [[4.4676, 0.0000, 0.0000], [2.2338, 3.8691, 0.0000], [2.2338, 1.2897, 3.6478]], "species": ["Tl", "Re", "Re", "Rh"], "fractional_positions": [[0.5000, 0.5000, 0.5000], [0.2500, 0.2500, 0.2500], [0.7500, 0.7500, 0.7500], [0.0000, 0.0000, 0.0000]]}

Record 11
{"formula": "NaTl3Se", "functional": "meta-GGA SCAN", "state": "PBEsol geometry", "crystal_system": "cubic", "raw_formation_energy_kj_per_mol_atoms": 23, "lattice_angstrom": [[5.4385, 0.0000, 0.0000], [0.0000, 5.4385, 0.0000], [0.0000, 0.0000, 5.4385]], "species": ["Na", "Se", "Tl", "Tl", "Tl"], "fractional_positions": [[0.0000, 0.0000, 0.0000], [0.5000, 0.5000, 0.5000], [0.0000, 0.0000, 0.5000], [0.5000, 0.0000, 0.0000], [0.0000, 0.5000, 0.0000]]}

Record 12
{"formula": "LiTaTe2N", "functional": "meta-GGA SCAN", "state": "PBEsol geometry", "crystal_system": "tetragonal", "raw_formation_energy_kj_per_mol_atoms": 96, "lattice_angstrom": [[-2.7097, 1.4880, 1.5382], [-2.8795, -3.8258, -1.3716], [1.1132, -2.3591, 4.2432]], "species": ["Ta", "Li", "Te", "N", "Te"], "fractional_positions": [[0.5000, 0.5000, 0.5000], [0.0000, 0.0000, 0.0000], [0.0000, 0.5000, 0.0000], [0.5000, 0.0000, 0.0000], [0.0000, 0.0000, 0.5000]]}

Record 13
{"formula": "Mg2Zn", "functional": "meta-GGA SCAN", "state": "PBEsol geometry", "e_form_kcal_per_mol_atoms": -2.5, "crystal_system": "cubic", "lattice_angstrom": [[8.6772, 0.0000, 0.0000], [4.3386, 7.5146, 0.0000], [4.3386, 2.5049, 7.0849]], "species": ["Mg", "Zn", "Zn", "Mg", "Mg", "Zn", "Mg", "Zn", "Mg", "Mg", "Zn", "Mg", "Zn", "Mg", "Mg", "Zn", "Mg", "Zn", "Mg", "Mg", "Mg", "Mg", "Mg", "Mg"], "fractional_positions": [[0.0588, 0.0588, 0.4412], [0.8377, 0.4868, 0.8377], [0.4123, 0.4123, 0.7632], [0.4412, 0.4412, 0.0588], [0.0588, 0.4412, 0.0588], [0.4123, 0.4123, 0.4123], [0.4412, 0.0588, 0.0588], [0.8377, 0.8377, 0.8377], [0.1912, 0.8088, 0.1912], [0.1912, 0.8088, 0.8088], [0.4868, 0.8377, 0.8377], [0.8088, 0.1912, 0.8088], [0.8377, 0.8377, 0.4868], [0.1250, 0.6250, 0.6250], [0.1912, 0.1912, 0.8088], [0.4123, 0.7632, 0.4123], [0.4412, 0.0588, 0.4412], [0.7632, 0.4123, 0.4123], [0.6250, 0.1250, 0.6250], [0.8088, 0.1912, 0.1912], [0.8088, 0.8088, 0.1912], [0.6250, 0.6250, 0.6250], [0.6250, 0.6250, 0.1250], [0.0588, 0.4412, 0.4412]]}

Record 14
{"formula": "LiBe2Pd2", "functional": "meta-GGA SCAN", "state": "PBEsol geometry", "e_form_kcal_per_mol_atoms": -14.2, "crystal_system": "tetragonal", "lattice_angstrom": [[-1.9066, -0.4270, 1.9404], [1.6135, -6.2640, 0.2069], [4.3819, 1.2802, 4.5874]], "species": ["Be", "Be", "Be", "Pd", "Pd", "Be", "Li", "Pd", "Pd", "Li"], "fractional_positions": [[0.0000, 0.1260, 0.3740], [0.0000, 0.8740, 0.6260], [0.0000, 0.6260, 0.1260], [0.5000, 0.6671, 0.8329], [0.5000, 0.1671, 0.6671], [0.0000, 0.3740, 0.8740], [0.0000, 0.0000, 0.0000], [0.5000, 0.8329, 0.3329], [0.5000, 0.3329, 0.1671], [0.0000, 0.5000, 0.5000]]}

Record 15
{"formula": "RbCu2Ag", "functional": "meta-GGA SCAN", "state": "PBEsol geometry", "e_form_kcal_per_mol_atoms": 19.8, "crystal_system": "cubic", "lattice_angstrom": [[-0.2003, 1.7736, -4.5148], [-2.1176, -2.5761, -3.5282], [-4.2465, 1.4519, -1.8514]], "species": ["Cu", "Ag", "Cu", "Rb"], "fractional_positions": [[0.2500, 0.2500, 0.2500], [0.5000, 0.5000, 0.5000], [0.7500, 0.7500, 0.7500], [0.0000, 0.0000, 0.0000]]}

Record 16
{"formula": "VSiO3", "functional": "meta-GGA SCAN", "state": "PBEsol geometry", "crystal_system": "monoclinic", "raw_formation_energy_kj_per_mol_atoms": -262, "lattice_angstrom": [[5.0477, -0.0023, -0.0022], [0.8861, 6.4307, -0.0148], [0.8861, 0.2645, 6.4253]], "species": ["O", "O", "Si", "V", "O", "O", "O", "O", "Si", "O", "O", "Si", "V", "O", "V", "V", "O", "O", "O", "Si"], "fractional_positions": [[0.8597, 0.8552, 0.3862], [0.3597, 0.3862, 0.8552], [0.2897, 0.2083, 0.3903], [0.2500, 0.7190, 0.2810], [0.5865, 0.2940, 0.4088], [0.1403, 0.1448, 0.6138], [0.4135, 0.7060, 0.5912], [0.3546, 0.0255, 0.2198], [0.7103, 0.7917, 0.6096], [0.9135, 0.5912, 0.7060], [0.6454, 0.9745, 0.7802], [0.2103, 0.6096, 0.7917], [0.2500, 0.0921, 0.9079], [0.0865, 0.4088, 0.2940], [0.7500, 0.2810, 0.7190], [0.7500, 0.9079, 0.0921], [0.8546, 0.2198, 0.0255], [0.1454, 0.7802, 0.9745], [0.6403, 0.6138, 0.1448], [0.7897, 0.3903, 0.2083]]}

Record 17
{"formula": "Fe2NiRh", "functional": "meta-GGA SCAN", "state": "PBEsol geometry", "e_form_kcal_per_mol_atoms": -2.4, "crystal_system": "tetragonal", "lattice_angstrom": [[-1.5796, 0.7136, 2.2554], [-1.1024, -2.6215, 0.0573], [4.3019, -1.7312, 3.5608]], "species": ["Ni", "Rh", "Fe", "Fe"], "fractional_positions": [[0.0000, 0.0000, 0.4751], [0.5000, 0.5000, 0.7564], [0.0000, 0.0000, 0.0132], [0.5000, 0.5000, 0.2553]]}

Record 18
{"formula": "MgZn2Co", "functional": "meta-GGA SCAN", "state": "PBEsol geometry", "e_form_kcal_per_mol_atoms": -1.0, "crystal_system": "tetragonal", "lattice_angstrom": [[-1.6420, 0.2111, 3.4024], [1.3008, -3.4519, 0.8420], [3.1115, 1.5159, 1.4075]], "species": ["Zn", "Co", "Zn", "Mg"], "fractional_positions": [[0.5000, 0.0000, 0.0000], [0.5000, 0.5000, 0.5000], [0.0000, 0.5000, 0.0000], [0.0000, 0.0000, 0.5000]]}

Record 19
{"formula": "Sn3AsS", "functional": "meta-GGA SCAN", "state": "PBEsol geometry", "crystal_system": "cubic", "raw_formation_energy_kj_per_mol_atoms": 69, "lattice_angstrom": [[-3.2813, -3.6673, -2.0457], [4.0380, -2.0430, -2.8146], [1.1527, -3.2830, 4.0366]], "species": ["Sn", "As", "Sn", "Sn", "S"], "fractional_positions": [[0.0000, 0.5000, 0.0000], [0.0000, 0.0000, 0.0000], [0.0000, 0.0000, 0.5000], [0.5000, 0.0000, 0.0000], [0.5000, 0.5000, 0.5000]]}

Record 20
{"formula": "Na2V6O15", "functional": "meta-GGA SCAN", "state": "PBEsol geometry", "crystal_system": "monoclinic", "raw_formation_energy_kj_per_mol_atoms": -244, "lattice_angstrom": [[-3.4981, 0.2533, 0.8878], [-0.1504, -0.7591, -7.7474], [0.0838, -9.8362, 3.1362]], "species": ["O", "O", "O", "O", "O", "O", "Na", "O", "O", "O", "O", "V", "V", "V", "O", "O", "O", "Na", "O", "V", "O", "V", "V"], "fractional_positions": [[0.2494, 0.4987, 0.5784], [0.2526, 0.5051, 0.2166], [0.7453, 0.4907, 0.4206], [0.9977, 0.9953, 0.9997], [0.5732, 0.1464, 0.8109], [0.7424, 0.4848, 0.7823], [0.5358, 0.0715, 0.3550], [0.6271, 0.2542, 0.0791], [0.0871, 0.1743, 0.2602], [0.4219, 0.8438, 0.1885], [0.9082, 0.8164, 0.7393], [0.6702, 0.3404, 0.9087], [0.3250, 0.6500, 0.0904], [0.8890, 0.7781, 0.8897], [0.6068, 0.2136, 0.5679], [0.3681, 0.7362, 0.9202], [0.3879, 0.7758, 0.4314], [0.4593, 0.9187, 0.6442], [0.8076, 0.6151, 0.0412], [0.7162, 0.4324, 0.6022], [0.1876, 0.3753, 0.9580], [0.2785, 0.5571, 0.3969], [0.1065, 0.2130, 0.1098]]}

Record 21
{"formula": "Nb5Te4", "functional": "meta-GGA SCAN", "state": "PBEsol geometry", "crystal_system": "tetragonal", "raw_formation_energy_kj_per_mol_atoms": -42, "lattice_angstrom": [[-0.5313, 1.0516, -3.4287], [-7.1022, -1.9441, -1.4125], [-2.5140, 7.0355, 0.6306]], "species": ["Nb", "Te", "Nb", "Te", "Nb", "Nb", "Te", "Nb", "Te"], "fractional_positions": [[0.3778, 0.9323, 0.3122], [0.0582, 0.6550, 0.2285], [0.3100, 0.3122, 0.0677], [0.9418, 0.3450, 0.7715], [0.6900, 0.6878, 0.9323], [0.0000, 0.0000, 0.0000], [0.2867, 0.7715, 0.6550], [0.6222, 0.0677, 0.6878], [0.7133, 0.2285, 0.3450]]}

| no. | spin magnetization (Bohr magnetons per cell) | total energy (eV/cell) |
| --- | --- | --- |
| 1 | 0.0 | -212.3 |
| 2 | 0.0 | -297.2 |
| 3 | 0.0 | -203.8 |
| 4 | 1.2 | -116.8 |
| 5 | 0.2 | -387.6 |
| 6 | 0.0 | -189.9 |
| 7 | 0.0 | -31.1 |
| 8 | 0.0 | -112.6 |
| 9 | 2.5 | -93.4 |
| 10 | 0.6 | -244.1 |
| 11 | 0.0 | -240.2 |
| 12 | 0.9 | -147.8 |
| 13 | 0.0 | -190.3 |
| 14 | 0.0 | -159.4 |
| 15 | 0.0 | -79.1 |
| 16 | 12.0 | -239.0 |
| 17 | 7.6 | -86.6 |
| 18 | 1.6 | -49.5 |
| 19 | 0.0 | -134.0 |
| 20 | 1.4 | -264.9 |
| 21 | 0.0 | -318.6 |